(1)
This record from the Alexandria database describes a relaxed structure of CsCuAsSe2. The functional is GGA-PBE.

a = 6.1280 Å, b = 6.1280 Å, c = 6.0672 Å
α = 90.00°, β = 90.00°, γ = 90.00°
Positions (direct):
1 Se 0.0000 0.5000 0.0000
2 As 0.0000 0.0000 0.5000
3 Cu 0.5000 0.5000 0.5000
4 Se 0.5000 0.0000 0.0000
5 Cs 0.0000 0.0000 0.0000

Values from the calculation:
Final energy = -1.72 eV/atom
M_tot = 3.27 μB/cell
N(E_F) = 1.01 states/eV per atom
Space group = P4/mmm



(2)
This record from the Alexandria database describes a relaxed structure of MoSeCl2. The functional is GGA-PBE.

a = 3.1952 Å, b = 3.1952 Å, c = 11.8846 Å
α = 90.00°, β = 90.00°, γ = 125.70°
Positions (direct):
1 Mo 0.5000 0.5000 0.2500
2 Se 0.5000 0.5000 0.7500
3 Cl 0.0000 0.0000 0.0872
4 Cl 0.0000 0.0000 0.4128

Values from the calculation:
Final energy = -4.46 eV/atom
M_tot = 1.50 μB/cell
N(E_F) = 0.70 states/eV per atom
Space group = Cmmm



(3)
This record from the Alexandria database describes a relaxed structure of LiHfAl. The functional is GGA-PBE.

a = 7.8194 Å, b = 5.5939 Å, c = 4.5354 Å
α = 90.00°, β = 90.00°, γ = 90.00°
Positions (direct):
1 Hf 0.3345 0.2500 0.0001
2 Al 0.5000 0.0000 0.5000
3 Al 0.5000 0.5000 0.5000
4 Li 0.6684 0.2500 0.0000
5 Li 0.8316 0.7500 0.5000
6 Al 0.0000 0.0000 0.0000
7 Hf 0.6655 0.7500 0.9999
8 Al 0.0000 0.5000 0.0000
9 Li 0.3316 0.7500 0.0000
10 Li 0.1684 0.2500 0.5000
11 Hf 0.1655 0.7500 0.5001
12 Hf 0.8345 0.2500 0.4999

Values from the calculation:
Final energy = -5.25 eV/atom
M_tot = 0.00 μB/cell
N(E_F) = 0.19 states/eV per atom
Space group = Cmcm
ΔH_f (0 K) = -0.052 eV per atom



(4)
This record from the Alexandria database describes a relaxed structure of CoSi2Ru. The functional is GGA-PBE.

a = 4.5149 Å, b = 4.5149 Å, c = 4.1034 Å
α = 75.97°, β = 75.97°, γ = 36.75°
Positions (direct):
1 Si 0.9992 0.9992 0.0563
2 Ru 0.2601 0.2601 0.1804
3 Co 0.4896 0.4896 0.5777
4 Si 0.7511 0.7511 0.6856

Values from the calculation:
Final energy = -7.34 eV/atom
M_tot = 0.16 μB/cell
N(E_F) = 0.59 states/eV per atom
Space group = Cm



(5)
This record from the Alexandria database describes a relaxed structure of Sr2SiW. The functional is GGA-PBE.

a = 6.3524 Å, b = 6.3524 Å, c = 6.3524 Å
α = 145.97°, β = 129.47°, γ = 62.33°
Positions (direct):
1 Sr 0.0383 0.0383 0.0000
2 Si 0.2931 0.7931 0.5000
3 Sr 0.7347 0.2347 0.5000
4 W 0.4339 0.4339 0.0000

Values from the calculation:
Final energy = -5.00 eV/atom
M_tot = 0.00 μB/cell
N(E_F) = 0.62 states/eV per atom
Space group = Imm2



(6)
This record from the Alexandria database describes a relaxed structure of MnPbW2. The functional is GGA-PBE.

a = 4.9158 Å, b = 4.9158 Å, c = 4.9158 Å
α = 129.77°, β = 129.77°, γ = 73.78°
Positions (direct):
1 W 0.0000 0.0000 0.0000
2 Mn 0.5000 0.5000 0.0000
3 W 0.2500 0.7500 0.5000
4 Pb 0.7500 0.2500 0.5000

Values from the calculation:
Final energy = -8.94 eV/atom
M_tot = 3.04 μB/cell
N(E_F) = 0.69 states/eV per atom
Space group = I-4m2
ΔH_f (0 K) = 0.757 eV per atom



(7)
This record from the Alexandria database describes a relaxed structure of AgP2OsAu. The functional is GGA-PBE.

a = 4.4622 Å, b = 4.4622 Å, c = 5.3613 Å
α = 90.00°, β = 90.00°, γ = 90.00°
Positions (direct):
1 P 0.5000 0.0000 0.0000
2 P 0.0000 0.5000 0.0000
3 Os 0.0000 0.0000 0.0000
4 Ag 0.5000 0.5000 0.5000
5 Au 0.0000 0.0000 0.5000

Values from the calculation:
Final energy = -5.07 eV/atom
M_tot = 0.00 μB/cell
N(E_F) = 0.71 states/eV per atom
Space group = P4/mmm
ΔH_f (0 K) = 0.563 eV per atom



(8)
This record from the Alexandria database describes a relaxed structure of Sm3HgSCl. The functional is GGA-PBE.

a = 4.0383 Å, b = 7.8570 Å, c = 11.1735 Å
α = 114.10°, β = 90.00°, γ = 90.00°
Positions (direct):
1 Sm 0.7500 0.9487 0.1293
2 Sm 0.2500 0.7147 0.5066
3 S 0.2500 0.6981 0.1126
4 Sm 0.2500 0.0513 0.8707
5 Hg 0.7500 0.7153 0.7220
6 Sm 0.7500 0.2853 0.4934
7 Sm 0.2500 0.5189 0.8427
8 Cl 0.7500 0.8503 0.3822
9 Sm 0.7500 0.4811 0.1573
10 Cl 0.2500 0.1497 0.6178
11 S 0.7500 0.3019 0.8874
12 Hg 0.2500 0.2847 0.2780

Values from the calculation:
Final energy = -4.66 eV/atom
M_tot = 0.00 μB/cell
N(E_F) = 0.72 states/eV per atom
Space group = P2_1/m